No. 1
# Ac6CuSi2I3 (GGA-PBE, optimized geometry)
# Final energy in eV/atom: -4.4504
# ΔE_f (raw) in eV per atom: -0.76
# M_tot in μB per formula unit: 1.1
data_Ac6CuSi2I3
_chemical_formula_sum 'Ac12 Cu2 Si4 I6'
_cell_length_a 7.9599
_cell_length_b 13.7740
_cell_length_c 8.4868
_cell_angle_alpha 90.00
_cell_angle_beta 108.28
_cell_angle_gamma 90.00
_symmetry_space_group_name_H-M 'C 1 2/m 1'
_symmetry_Int_Tables_number 12
loop_
_symmetry_equiv_pos_as_xyz
'x,y,z'
'-x,-y,-z'
'-x,y,-z'
'x,-y,z'
'x+1/2,y+1/2,z'
'-x+1/2,-y+1/2,-z'
'-x+1/2,y+1/2,-z'
'x+1/2,-y+1/2,z'
loop_
_atom_site_label
_atom_site_fract_x
_atom_site_fract_y
_atom_site_fract_z
Ac1 0.2324 0.1657 0.2004
Ac2 0.2351 0.5000 0.2036
Cu1 0.0000 0.0000 0.0000
Si1 0.0000 0.3340 0.0000
I1 0.0000 0.1720 0.5000
I2 0.0000 0.5000 0.5000

No. 2
# BeO (GGA-PBE, optimized geometry)
# Final energy in eV/atom: -6.6207
# ΔE_f (raw) in eV per atom: -2.28
# M_tot in μB per formula unit: 0.0
# Energy above the lowest structure with this stoichiometry in eV/f.u.: 0.96
data_BeO
_chemical_formula_sum 'Be4 O4'
_cell_length_a 3.6488
_cell_length_b 3.6488
_cell_length_c 3.6488
_cell_angle_alpha 90.00
_cell_angle_beta 90.00
_cell_angle_gamma 90.00
_symmetry_space_group_name_H-M 'F m -3 m'
_symmetry_Int_Tables_number 225
_symmetry_space_group_name_Hall '-F 4 2 3'
loop_
_atom_site_label
_atom_site_fract_x
_atom_site_fract_y
_atom_site_fract_z
Be1 0.0000 0.0000 0.0000
O1 0.0000 0.0000 0.5000

No. 3
# Ba2YCu (GGA-PBE, optimized geometry)
# Final energy in eV/atom: -3.1812
# Energy of formation from the pure elements in eV/atom: 0.4202
# M_tot in μB per formula unit: 0.0
# Energy above the lowest structure with this stoichiometry in eV/f.u.: 1.45
data_Ba2YCu
_chemical_formula_sum 'Ba2 Y1 Cu1'
_cell_length_a 4.3611
_cell_length_b 5.6798
_cell_length_c 5.7416
_cell_angle_alpha 90.00
_cell_angle_beta 90.00
_cell_angle_gamma 90.00
_symmetry_space_group_name_H-M 'P m m m'
_symmetry_Int_Tables_number 47
loop_
_symmetry_equiv_pos_as_xyz
'x,y,z'
'-x,-y,-z'
'-x,-y,z'
'x,y,-z'
'x,-y,-z'
'-x,y,z'
'-x,y,-z'
'x,-y,z'
loop_
_atom_site_label
_atom_site_fract_x
_atom_site_fract_y
_atom_site_fract_z
Ba1 0.0000 0.0000 0.0000
Ba2 0.5000 0.0000 0.5000
Y1 0.0000 0.5000 0.5000
Cu1 0.5000 0.5000 0.0000

No. 4
# YMg2Fe (GGA-PBE, optimized geometry)
# Final energy in eV/atom: -4.3333
# Energy of formation from the pure elements in eV/atom: 0.1957
# M_tot in μB per formula unit: 1.8
data_YMg2Fe
_chemical_formula_sum 'Y1 Mg2 Fe1'
_cell_length_a 4.1928
_cell_length_b 4.1928
_cell_length_c 4.8746
_cell_angle_alpha 90.00
_cell_angle_beta 90.00
_cell_angle_gamma 90.00
_symmetry_space_group_name_H-M 'P 4/m m m'
_symmetry_Int_Tables_number 123
_symmetry_space_group_name_Hall '-P 4 2'
loop_
_atom_site_label
_atom_site_fract_x
_atom_site_fract_y
_atom_site_fract_z
Y1 0.0000 0.0000 0.0000
Mg1 0.0000 0.5000 0.5000
Fe1 0.5000 0.5000 0.0000

No. 5
# PrSm2Y6Ho (GGA-PBE, optimized geometry)
# Final energy in eV/atom: -5.6444
# Energy of formation from the pure elements in eV/atom: 0.1136
# M_tot in μB per formula unit: 0.0
data_PrSm2Y6Ho
_chemical_formula_sum 'Pr4 Sm8 Y24 Ho4'
_cell_length_a 9.1401
_cell_length_b 15.0924
_cell_length_c 9.7455
_cell_angle_alpha 90.00
_cell_angle_beta 98.76
_cell_angle_gamma 90.00
_symmetry_space_group_name_H-M 'C 1 2/c 1'
_symmetry_Int_Tables_number 15
loop_
_symmetry_equiv_pos_as_xyz
'x,y,z'
'-x,-y,-z'
'-x,y,-z+1/2'
'x,-y,z+1/2'
'x+1/2,y+1/2,z'
'-x+1/2,-y+1/2,-z'
'-x+1/2,y+1/2,-z+1/2'
'x+1/2,-y+1/2,z+1/2'
loop_
_atom_site_label
_atom_site_fract_x
_atom_site_fract_y
_atom_site_fract_z
Pr1 0.0000 0.0207 0.2500
Sm1 0.2463 0.0503 0.5459
Y1 0.0670 0.1886 0.9428
Y2 0.0978 0.3937 0.1175
Y3 0.2068 0.2237 0.3156
Ho1 0.0000 0.4080 0.7500